This record from Alexandria via LeMat-Bulk describes crystalline Zr6AlCu at its relaxed geometry. The functional is GGA-PBE.

Total energy: -7.51 eV/atom
Energy relative to the lowest polymorph listed for this composition: 0.00 kJ per mole of atoms
V: 169.2 Å³/f.u.

Cell and atoms, written as CIF:
```
data_Zr6AlCu
_cell_length_a 4.578
_cell_length_b 4.578
_cell_length_c 16.146
_cell_angle_alpha 90.00
_cell_angle_beta 90.00
_cell_angle_gamma 90.00
_space_group_name_H-M_alt 'I 4/m m m'
_space_group_IT_number 139
_space_group_name_Hall '-I 4 2'
loop_
_atom_site_label
_atom_site_type_symbol
_atom_site_fract_x
_atom_site_fract_y
_atom_site_fract_z
Zr1 Zr 0.000 0.000 0.250
Zr2 Zr 0.000 0.500 0.113
Al1 Al 0.000 0.000 0.000
Cu1 Cu 0.000 0.000 0.500
```

=====

This record from Alexandria via LeMat-Bulk describes crystalline ZrAl3Cu3 at its relaxed geometry. The functional is GGA-PBE.

Total energy: -4.86 eV/atom
Energy relative to the lowest polymorph listed for this composition: 0.00 kJ per mole of atoms
V: 106.4 Å³/f.u.

Cell and atoms, written as CIF:
```
data_ZrAl3Cu3
_cell_length_a 4.127
_cell_length_b 6.420
_cell_length_c 8.031
_cell_angle_alpha 90.00
_cell_angle_beta 90.00
_cell_angle_gamma 90.00
_space_group_name_H-M_alt 'P m m n'
_space_group_IT_number 59
loop_
_space_group_symop_operation_xyz
'x,y,z'
'-x,-y,-z'
'-x+1/2,-y+1/2,z'
'x+1/2,y+1/2,-z'
'x+1/2,-y,-z'
'-x+1/2,y,z'
'-x,y+1/2,-z'
'x,-y+1/2,z'
loop_
_atom_site_label
_atom_site_type_symbol
_atom_site_fract_x
_atom_site_fract_y
_atom_site_fract_z
Zr1 Zr 0.250 0.250 0.248
Al1 Al 0.250 0.043 0.618
Al2 Al 0.250 0.750 0.128
Cu1 Cu 0.250 0.031 0.918
Cu2 Cu 0.250 0.750 0.436
```

=====

This record from Alexandria via LeMat-Bulk describes crystalline Zr4Al2Cu at its relaxed geometry. The functional is GGA-PBE.

Total energy: -6.40 eV/atom
Energy relative to the lowest polymorph listed for this composition: 41.58 kJ per mole of atoms
V: 144.1 Å³/f.u.

Cell and atoms, written as CIF:
```
data_Zr4Al2Cu
_cell_length_a 3.0275
_cell_length_b 3.0275
_cell_length_c 18.1591
_cell_angle_alpha 90.00
_cell_angle_beta 90.00
_cell_angle_gamma 120.00
_space_group_name_H-M_alt 'P -3 m 1'
_space_group_IT_number 164
_space_group_name_Hall '-P 3 2"'
loop_
_atom_site_label
_atom_site_type_symbol
_atom_site_fract_x
_atom_site_fract_y
_atom_site_fract_z
Zr1 Zr 0.3333 0.6667 0.3766
Zr2 Zr 0.3333 0.6667 0.9204
Al1 Al 0.3333 0.6667 0.2158
Cu1 Cu 0.0000 0.0000 0.5000
```

=====

This record from Alexandria via LeMat-Bulk describes crystalline Zr4AlCu at its relaxed geometry. The functional is GGA-PBE.

Total energy: -7.23 eV/atom
Energy relative to the lowest polymorph listed for this composition: 0.00 kJ per mole of atoms
V: 120.8 Å³/f.u.

Cell and atoms, written as CIF:
```
data_Zr4AlCu
_cell_length_a 7.027
_cell_length_b 7.027
_cell_length_c 4.894
_cell_angle_alpha 90.00
_cell_angle_beta 90.00
_cell_angle_gamma 90.00
_space_group_name_H-M_alt 'I 4 2 2'
_space_group_IT_number 97
_space_group_name_Hall 'I 4 2'
loop_
_atom_site_label
_atom_site_type_symbol
_atom_site_fract_x
_atom_site_fract_y
_atom_site_fract_z
Zr1 Zr 0.153 0.347 0.250
Al1 Al 0.000 0.000 0.500
Cu1 Cu 0.000 0.000 0.000
```

=====

This record from Alexandria via LeMat-Bulk describes crystalline Zr2AlCu at its relaxed geometry. The functional is GGA-PBE.

Total energy: -6.43 eV/atom
V: 74.4 Å³/f.u.

Cell and atoms, written as CIF:
```
data_Zr2AlCu
_cell_length_a 3.046
_cell_length_b 11.167
_cell_length_c 8.748
_cell_angle_alpha 90.00
_cell_angle_beta 90.00
_cell_angle_gamma 90.00
_space_group_name_H-M_alt 'C m c m'
_space_group_IT_number 63
_space_group_name_Hall '-C 2c 2'
loop_
_atom_site_label
_atom_site_type_symbol
_atom_site_fract_x
_atom_site_fract_y
_atom_site_fract_z
Zr1 Zr 0.000 0.131 0.048
Al1 Al 0.000 0.449 0.250
Cu1 Cu 0.000 0.236 0.750
```

=====

This record from Alexandria via LeMat-Bulk describes crystalline ZrAl4Cu2 at its relaxed geometry. The functional is GGA-PBE.

Total energy: -4.48 eV/atom
Energy relative to the lowest polymorph listed for this composition: 37.70 kJ per mole of atoms
V: 119.1 Å³/f.u.

Cell and atoms, written as CIF:
```
data_ZrAl4Cu2
_cell_length_a 2.9370
_cell_length_b 2.9370
_cell_length_c 15.9467
_cell_angle_alpha 90.00
_cell_angle_beta 90.00
_cell_angle_gamma 120.00
_space_group_name_H-M_alt 'P -3 m 1'
_space_group_IT_number 164
_space_group_name_Hall '-P 3 2"'
loop_
_atom_site_label
_atom_site_type_symbol
_atom_site_fract_x
_atom_site_fract_y
_atom_site_fract_z
Zr1 Zr 0.0000 0.0000 0.0000
Al1 Al 0.3333 0.6667 0.4296
Al2 Al 0.3333 0.6667 0.8450
Cu1 Cu 0.3333 0.6667 0.6897
```